# 1
Compound: BePtIO2
Source: Alexandria
Functional: PBEsol
Structure: relaxed

As for the density of states at the Fermi level: 4.03 states/eV/f.u. For the calculated density, the calculation gives 7487 kg/m3. The total energy is -23.08 eV/f.u. The value obtained for the magnetization is 1.9 μB/f.u.

```
data_BePtIO2
_chemical_formula_sum 'Be1 Pt1 I1 O2'
_symmetry_space_group_name_H-M 'P 4/m m m'
_symmetry_Int_Tables_number 123
_symmetry_space_group_name_Hall '-P 4 2'
_cell_length_a 3.595
_cell_length_b 3.595
_cell_length_c 6.229
_cell_angle_alpha 90.00
_cell_angle_beta 90.00
_cell_angle_gamma 90.00
loop_
_atom_site_label
_atom_site_type_symbol
_atom_site_fract_x
_atom_site_fract_y
_atom_site_fract_z
Be1 Be 0.000 0.000 0.000
Pt1 Pt 0.500 0.500 0.500
I1 I 0.000 0.000 0.500
O1 O 0.000 0.500 0.000
```



# 2
Compound: RbFe2BW
Source: Alexandria
Functional: PBEsol
Structure: relaxed

As for the density of states at the Fermi level: 5.63 states/eV/f.u. For the calculated density, the calculation gives 8618 kg/m3. The value obtained for the magnetization is 5.4 μB/f.u. For the energy of formation, the calculation gives 1.3672 eV per atom.

```
data_RbFe2BW
_chemical_formula_sum 'Rb1 Fe2 B1 W1'
_symmetry_space_group_name_H-M 'P 4/m m m'
_symmetry_Int_Tables_number 123
_symmetry_space_group_name_Hall '-P 4 2'
_cell_length_a 4.173
_cell_length_b 4.173
_cell_length_c 4.335
_cell_angle_alpha 90.00
_cell_angle_beta 90.00
_cell_angle_gamma 90.00
loop_
_atom_site_label
_atom_site_type_symbol
_atom_site_fract_x
_atom_site_fract_y
_atom_site_fract_z
Rb1 Rb 0.000 0.000 0.000
Fe1 Fe 0.000 0.500 0.500
B1 B 0.500 0.500 0.500
W1 W 0.500 0.500 0.000
```



# 3
Compound: Ba4CrP
Source: Alexandria
Functional: PBEsol
Structure: relaxed

As for the density of states at the Fermi level: 6.39 states/eV/f.u. For the calculated density, the calculation gives 4603 kg/m3. The value obtained for the magnetization is 4.7 μB/f.u. For the energy of formation, the calculation gives 0.8293 eV per atom.

```
data_Ba4CrP
_chemical_formula_sum 'Ba16 Cr4 P4'
_symmetry_space_group_name_H-M 'F -4 3 m'
_symmetry_Int_Tables_number 216
_symmetry_space_group_name_Hall 'F -4 2 3'
_cell_length_a 9.699
_cell_length_b 9.699
_cell_length_c 9.699
_cell_angle_alpha 90.00
_cell_angle_beta 90.00
_cell_angle_gamma 90.00
loop_
_atom_site_label
_atom_site_type_symbol
_atom_site_fract_x
_atom_site_fract_y
_atom_site_fract_z
Ba1 Ba 0.124 0.124 0.124
Cr1 Cr 0.000 0.000 0.500
P1 P 0.250 0.250 0.750
```



# 4
Compound: Tl2InAu
Source: Alexandria
Functional: PBEsol
Structure: relaxed

As for the density of states at the Fermi level: 1.77 states/eV/f.u. For the calculated density, the calculation gives 12097 kg/m3. The energy above the most stable polymorph in this dataset comes out at 0.050 eV per atom. The value obtained for the magnetization is 0.0 μB/f.u. For the energy of formation, the calculation gives 0.0104 eV per atom.

```
data_Tl2InAu
_chemical_formula_sum 'Tl4 In2 Au2'
_symmetry_space_group_name_H-M 'C 1 m 1'
_symmetry_Int_Tables_number 8
_symmetry_space_group_name_Hall 'C -2y'
_cell_length_a 11.663
_cell_length_b 3.515
_cell_length_c 5.405
_cell_angle_alpha 90.00
_cell_angle_beta 116.76
_cell_angle_gamma 90.00
loop_
_atom_site_label
_atom_site_type_symbol
_atom_site_fract_x
_atom_site_fract_y
_atom_site_fract_z
Tl1 Tl 0.000 0.000 0.000
Tl2 Tl 0.214 0.000 0.703
In1 In 0.276 0.500 0.261
Au1 Au 0.484 0.000 0.494
```



# 5
Compound: Na3SrBi
Source: Alexandria
Functional: PBEsol
Structure: relaxed

As for the density of states at the Fermi level: 0.77 states/eV/f.u. For the calculated density, the calculation gives 2832 kg/m3. The value obtained for the magnetization is 0.0 μB/f.u. For the energy of formation, the calculation gives -0.0601 eV per atom.

```
data_Na3SrBi
_chemical_formula_sum 'Na3 Sr1 Bi1'
_symmetry_space_group_name_H-M 'P m -3 m'
_symmetry_Int_Tables_number 221
_symmetry_space_group_name_Hall '-P 4 2 3'
_cell_length_a 5.984
_cell_length_b 5.984
_cell_length_c 5.984
_cell_angle_alpha 90.00
_cell_angle_beta 90.00
_cell_angle_gamma 90.00
loop_
_atom_site_label
_atom_site_type_symbol
_atom_site_fract_x
_atom_site_fract_y
_atom_site_fract_z
Na1 Na 0.000 0.000 0.500
Sr1 Sr 0.500 0.500 0.500
Bi1 Bi 0.000 0.000 0.000
```



# 6
Compound: Cd17Ag12
Source: Alexandria
Functional: PBEsol
Structure: relaxed

As for the density of states at the Fermi level: 9.76 states/eV/f.u. For the calculated density, the calculation gives 9756 kg/m3. The value obtained for the magnetization is 0.0 μB/f.u. For the energy of formation, the calculation gives -0.0144 eV per atom.

```
data_Cd17Ag12
_chemical_formula_sum 'Cd34 Ag24'
_symmetry_space_group_name_H-M 'I -4 3 m'
_symmetry_Int_Tables_number 217
_symmetry_space_group_name_Hall 'I -4 2 3'
_cell_length_a 10.295
_cell_length_b 10.295
_cell_length_c 10.295
_cell_angle_alpha 90.00
_cell_angle_beta 90.00
_cell_angle_gamma 90.00
loop_
_atom_site_label
_atom_site_type_symbol
_atom_site_fract_x
_atom_site_fract_y
_atom_site_fract_z
Cd1 Cd 0.000 0.000 0.000
Cd2 Cd 0.054 0.362 0.362
Cd3 Cd 0.166 0.166 0.834
Ag1 Ag 0.094 0.094 0.285
```



# 7
Compound: KLaIn2
Source: Alexandria
Functional: PBEsol
Structure: relaxed

As for the density of states at the Fermi level: 3.29 states/eV/f.u. For the calculated density, the calculation gives 5478 kg/m3. The value obtained for the magnetization is 0.0 μB/f.u. For the energy of formation, the calculation gives -0.1998 eV per atom.

```
data_KLaIn2
_chemical_formula_sum 'K1 La1 In2'
_symmetry_space_group_name_H-M 'P 4/m m m'
_symmetry_Int_Tables_number 123
_symmetry_space_group_name_Hall '-P 4 2'
_cell_length_a 5.709
_cell_length_b 5.709
_cell_length_c 3.792
_cell_angle_alpha 90.00
_cell_angle_beta 90.00
_cell_angle_gamma 90.00
loop_
_atom_site_label
_atom_site_type_symbol
_atom_site_fract_x
_atom_site_fract_y
_atom_site_fract_z
K1 K 0.000 0.000 0.000
La1 La 0.500 0.500 0.000
In1 In 0.000 0.500 0.500
```



# 8
Compound: KCa2
Source: Alexandria
Functional: PBEsol
Structure: relaxed

As for the density of states at the Fermi level: 3.31 states/eV/f.u. For the calculated density, the calculation gives 1405 kg/m3. The value obtained for the magnetization is 0.0 μB/f.u. For the energy of formation, the calculation gives 0.1090 eV per atom.

```
data_KCa2
_chemical_formula_sum 'K1 Ca2'
_symmetry_space_group_name_H-M 'P -3 m 1'
_symmetry_Int_Tables_number 164
_symmetry_space_group_name_Hall '-P 3 2"'
_cell_length_a 3.9678
_cell_length_b 3.9678
_cell_length_c 10.3409
_cell_angle_alpha 90.00
_cell_angle_beta 90.00
_cell_angle_gamma 120.00
loop_
_atom_site_label
_atom_site_type_symbol
_atom_site_fract_x
_atom_site_fract_y
_atom_site_fract_z
K1 K 0.0000 0.0000 0.0000
Ca1 Ca 0.3333 0.6667 0.3517
```



# 9
Compound: NaMg2WO
Source: Alexandria
Functional: PBEsol
Structure: relaxed

As for the density of states at the Fermi level: 2.87 states/eV/f.u. For the calculated density, the calculation gives 3842 kg/m3. The total energy is -23.46 eV/f.u. The value obtained for the magnetization is 0.4 μB/f.u.

```
data_NaMg2WO
_chemical_formula_sum 'Na1 Mg2 W1 O1'
_symmetry_space_group_name_H-M 'P 4/m m m'
_symmetry_Int_Tables_number 123
_symmetry_space_group_name_Hall '-P 4 2'
_cell_length_a 5.572
_cell_length_b 5.572
_cell_length_c 3.779
_cell_angle_alpha 90.00
_cell_angle_beta 90.00
_cell_angle_gamma 90.00
loop_
_atom_site_label
_atom_site_type_symbol
_atom_site_fract_x
_atom_site_fract_y
_atom_site_fract_z
Na1 Na 0.000 0.000 0.000
Mg1 Mg 0.000 0.500 0.500
W1 W 0.500 0.500 0.500
O1 O 0.500 0.500 0.000
```



# 10
Compound: TaSbTe2H
Source: Alexandria
Functional: PBEsol
Structure: relaxed

As for the density of states at the Fermi level: 2.78 states/eV/f.u. For the calculated density, the calculation gives 9595 kg/m3. The energy above the most stable polymorph in this dataset comes out at 0.000 eV per atom. The value obtained for the magnetization is 0.0 μB/f.u.

```
data_TaSbTe2H
_chemical_formula_sum 'Ta1 Sb1 Te2 H1'
_symmetry_space_group_name_H-M 'P 4/m m m'
_symmetry_Int_Tables_number 123
_symmetry_space_group_name_Hall '-P 4 2'
_cell_length_a 5.128
_cell_length_b 5.128
_cell_length_c 3.679
_cell_angle_alpha 90.00
_cell_angle_beta 90.00
_cell_angle_gamma 90.00
loop_
_atom_site_label
_atom_site_type_symbol
_atom_site_fract_x
_atom_site_fract_y
_atom_site_fract_z
Ta1 Ta 0.000 0.000 0.000
Sb1 Sb 0.500 0.500 0.000
Te1 Te 0.000 0.500 0.500
H1 H 0.500 0.500 0.500
```



Q: Look up the calculated density of the seventh one.
A: 5478 kg/m3



Q: Which formula does entry 3 have?
A: Ba4CrP



Q: The highest calculated density belongs to which entry?
A: Tl2InAu



Copy entry 3 word for word.
Compound: Ba4CrP
Source: Alexandria
Functional: PBEsol
Structure: relaxed

As for the density of states at the Fermi level: 6.39 states/eV/f.u. For the calculated density, the calculation gives 4603 kg/m3. The value obtained for the magnetization is 4.7 μB/f.u. For the energy of formation, the calculation gives 0.8293 eV per atom.

```
data_Ba4CrP
_chemical_formula_sum 'Ba16 Cr4 P4'
_symmetry_space_group_name_H-M 'F -4 3 m'
_symmetry_Int_Tables_number 216
_symmetry_space_group_name_Hall 'F -4 2 3'
_cell_length_a 9.699
_cell_length_b 9.699
_cell_length_c 9.699
_cell_angle_alpha 90.00
_cell_angle_beta 90.00
_cell_angle_gamma 90.00
loop_
_atom_site_label
_atom_site_type_symbol
_atom_site_fract_x
_atom_site_fract_y
_atom_site_fract_z
Ba1 Ba 0.124 0.124 0.124
Cr1 Cr 0.000 0.000 0.500
P1 P 0.250 0.250 0.750
```